1.
! ScCo3N | the Alexandria database | PBE-GGA | relaxed; values from VASP
&SYSTEM
  ibrav = 0, nat = 5, ntyp = 3
/
ATOMIC_SPECIES
Co 58.93 Co.upf
Sc 44.96 Sc.upf
N 14.01 N.upf
CELL_PARAMETERS angstrom
4.3978 0.0000 0.0000
0.0000 4.3978 0.0000
0.0000 0.0000 4.3978
ATOMIC_POSITIONS angstrom
Co 0.0000 2.1989 0.0000
Co 2.1989 0.0000 0.0000
Sc 0.0000 0.0000 0.0000
N 2.1989 2.1989 2.1989
Co 0.0000 0.0000 2.1989
! Magnetic moment: 0.93 μB/atom
! E_form (uncorrected): 2.444 eV/atom
! Distance to the lowest polymorph of the same formula: 2742.0 meV per atom
! Electronic total energy: -4.7512 eV/atom

***

2.
! ScCoSeN2 | the Alexandria database | PBE-GGA | relaxed; values from VASP
&SYSTEM
  ibrav = 0, nat = 5, ntyp = 4
/
ATOMIC_SPECIES
Sc 44.96 Sc.upf
Co 58.93 Co.upf
Se 78.96 Se.upf
N 14.01 N.upf
CELL_PARAMETERS angstrom
-2.9078 -2.6939 0.8660
-0.2617 -0.9803 -3.9284
3.8008 -3.8733 0.7134
ATOMIC_POSITIONS angstrom
Sc 0.0000 0.0000 0.0000
Co 0.3156 -3.7738 -1.1746
Se 1.9004 -1.9367 0.3567
N -0.1309 -0.4902 -1.9642
N -1.4539 -1.3469 0.4330
! Magnetic moment: 0.99 μB/atom
! E_form (uncorrected): 0.959 eV/atom
! Distance to the lowest polymorph of the same formula: 684.1 meV per atom
! Electronic total energy: -5.7559 eV/atom

***

3.
! ScCoSeN2 | the Alexandria database | PBE-GGA | relaxed; values from VASP
&SYSTEM
  ibrav = 0, nat = 5, ntyp = 4
/
ATOMIC_SPECIES
Co 58.93 Co.upf
Se 78.96 Se.upf
N 14.01 N.upf
Sc 44.96 Sc.upf
CELL_PARAMETERS angstrom
-0.5948 -2.6729 -2.5662
3.6127 -0.9961 0.2002
-1.0588 -3.1345 3.5103
ATOMIC_POSITIONS angstrom
Co 0.0000 0.0000 0.0000
Se -0.5294 -1.5673 1.7551
N -0.2974 -1.3365 -1.2831
N 1.8063 -0.4981 0.1001
Sc 0.9795 -3.4018 0.5721
! Magnetic moment: 0.49 μB/atom
! E_form (uncorrected): 0.274 eV/atom
! Distance to the lowest polymorph of the same formula: 0.0 meV per atom
! Electronic total energy: -6.4401 eV/atom

***

4.
! Sc2TaCoN | the Alexandria database | PBE-GGA | relaxed; values from VASP
&SYSTEM
  ibrav = 0, nat = 5, ntyp = 4
/
ATOMIC_SPECIES
Ta 180.95 Ta.upf
Sc 44.96 Sc.upf
N 14.01 N.upf
Co 58.93 Co.upf
CELL_PARAMETERS angstrom
-3.7732 -1.9095 0.8095
1.2509 -3.3923 -2.1712
1.6341 -1.7024 3.6014
ATOMIC_POSITIONS angstrom
Ta 0.6255 -1.6962 -1.0856
Sc -1.8866 -0.9547 0.4047
N 0.0000 0.0000 0.0000
Co -0.4441 -3.5021 1.1198
Sc 0.8171 -0.8512 1.8007
! Magnetic moment: 0.28 μB/atom
! E_form (uncorrected): -0.566 eV/atom
! Electronic total energy: -8.5558 eV/atom

***

5.
! Sc2CoTcN | the Alexandria database | PBE-GGA | relaxed; values from VASP
&SYSTEM
  ibrav = 0, nat = 5, ntyp = 4
/
ATOMIC_SPECIES
Tc 98.00 Tc.upf
Co 58.93 Co.upf
Sc 44.96 Sc.upf
N 14.01 N.upf
CELL_PARAMETERS angstrom
4.4906 0.0000 0.0000
0.0000 3.5467 0.0000
0.0000 0.0000 4.4906
ATOMIC_POSITIONS angstrom
Tc 2.2453 1.7733 2.2453
Co 0.0000 1.7733 0.0000
Sc 0.0000 0.0000 2.2453
Sc 2.2453 0.0000 0.0000
N 0.0000 0.0000 0.0000
! Magnetic moment: 0.14 μB/atom
! E_form (uncorrected): -0.522 eV/atom
! Electronic total energy: -8.2140 eV/atom

***

6.
! ScCo2TcN | the Alexandria database | PBE-GGA | relaxed; values from VASP
&SYSTEM
  ibrav = 0, nat = 5, ntyp = 4
/
ATOMIC_SPECIES
Co 58.93 Co.upf
Sc 44.96 Sc.upf
N 14.01 N.upf
Tc 98.00 Tc.upf
CELL_PARAMETERS angstrom
-2.7722 2.5508 0.3817
-2.7687 -3.1443 0.9040
0.8180 0.3382 3.6816
ATOMIC_POSITIONS angstrom
Co 0.4090 0.1691 1.8408
Co -1.3861 1.2754 0.1908
Sc -1.3844 -1.5722 0.4520
N 0.0000 0.0000 0.0000
Tc -2.3614 -0.1277 2.4836
! Magnetic moment: 0.59 μB/atom
! E_form (uncorrected): -0.090 eV/atom
! Electronic total energy: -7.9368 eV/atom

***

7.
! ScCoTcN2 | the Alexandria database | PBE-GGA | relaxed; values from VASP
&SYSTEM
  ibrav = 0, nat = 5, ntyp = 4
/
ATOMIC_SPECIES
N 14.01 N.upf
Co 58.93 Co.upf
Tc 98.00 Tc.upf
Sc 44.96 Sc.upf
CELL_PARAMETERS angstrom
3.7378 0.0000 0.0000
0.0000 4.5814 0.0000
0.0000 0.0000 3.7378
ATOMIC_POSITIONS angstrom
N 1.8689 0.0000 0.0000
Co 0.0000 0.0000 0.0000
Tc 1.8689 2.2907 1.8689
Sc 0.0000 2.2907 0.0000
N 0.0000 0.0000 1.8689
! Magnetic moment: 0.06 μB/atom
! E_form (uncorrected): 1.230 eV/atom
! Electronic total energy: -6.8606 eV/atom

***

8.
! ScTlCo2N | the Alexandria database | PBE-GGA | relaxed; values from VASP
&SYSTEM
  ibrav = 0, nat = 5, ntyp = 4
/
ATOMIC_SPECIES
Co 58.93 Co.upf
Sc 44.96 Sc.upf
N 14.01 N.upf
Tl 204.38 Tl.upf
CELL_PARAMETERS angstrom
-3.4356 2.0644 2.6574
1.3498 -2.1602 3.4233
3.0015 3.5969 1.0862
ATOMIC_POSITIONS angstrom
Co -1.7178 1.0322 1.3287
Sc 0.4579 1.7505 3.5834
N 0.6749 -1.0801 1.7117
Tl 0.0000 0.0000 0.0000
Co 1.5008 1.7984 0.5431
! Magnetic moment: 0.55 μB/atom
! E_form (uncorrected): 1.588 eV/atom
! Electronic total energy: -4.6589 eV/atom

***

9.
! ScZnCo2N | the Alexandria database | PBE-GGA | relaxed; values from VASP
&SYSTEM
  ibrav = 0, nat = 5, ntyp = 4
/
ATOMIC_SPECIES
Co 58.93 Co.upf
N 14.01 N.upf
Zn 65.41 Zn.upf
Sc 44.96 Sc.upf
CELL_PARAMETERS angstrom
-3.0401 -3.4575 -0.4322
2.1607 -1.5294 -2.9629
2.4119 -2.5021 3.0505
ATOMIC_POSITIONS angstrom
Co -1.5200 -1.7287 -0.2161
N 1.0803 -0.7647 -1.4814
Co 1.2059 -1.2510 1.5252
Zn 0.7662 -3.7445 -0.1723
Sc 0.0000 0.0000 0.0000
! Magnetic moment: 0.61 μB/atom
! E_form (uncorrected): 1.226 eV/atom
! Electronic total energy: -4.8022 eV/atom

***

10.
! CoSe3N | the Alexandria database | PBE-GGA | relaxed; values from VASP
&SYSTEM
  ibrav = 0, nat = 5, ntyp = 3
/
ATOMIC_SPECIES
Se 78.96 Se.upf
N 14.01 N.upf
Co 58.93 Co.upf
CELL_PARAMETERS angstrom
4.5715 0.0000 0.0000
0.0000 4.5715 0.0000
0.0000 0.0000 4.5715
ATOMIC_POSITIONS angstrom
Se 0.0000 0.0000 2.2858
Se 2.2858 0.0000 0.0000
N 2.2858 2.2858 2.2858
Co 0.0000 0.0000 0.0000
Se 0.0000 2.2858 0.0000
! Magnetic moment: 0.00 μB/atom
! E_form (uncorrected): 1.513 eV/atom
! Distance to the lowest polymorph of the same formula: 371.9 meV per atom
! Electronic total energy: -3.6636 eV/atom

***

11.
! CoSe2N2 | the Alexandria database | PBE-GGA | relaxed; values from VASP
&SYSTEM
  ibrav = 0, nat = 5, ntyp = 3
/
ATOMIC_SPECIES
Co 58.93 Co.upf
N 14.01 N.upf
Se 78.96 Se.upf
CELL_PARAMETERS angstrom
3.4007 0.0000 0.0000
-1.7004 2.9450 -0.0941
0.0000 0.0870 11.5050
ATOMIC_POSITIONS angstrom
Co 0.0000 0.0000 0.0000
N 1.7003 2.9903 6.2152
N 0.0000 0.0417 5.1957
Se 1.7004 1.0251 1.3084
Se 0.0000 2.0068 10.1025
! Magnetic moment: 0.00 μB/atom
! E_form (uncorrected): -0.127 eV/atom
! Distance to the lowest polymorph of the same formula: 0.0 meV per atom
! Electronic total energy: -6.2722 eV/atom

***

12.
! CoSe2N2 | the Alexandria database | PBE-GGA | relaxed; values from VASP
&SYSTEM
  ibrav = 0, nat = 5, ntyp = 3
/
ATOMIC_SPECIES
Co 58.93 Co.upf
Se 78.96 Se.upf
N 14.01 N.upf
CELL_PARAMETERS angstrom
3.5661 0.0000 0.0000
0.0000 3.5661 0.0000
0.0000 0.0000 7.3314
ATOMIC_POSITIONS angstrom
Co 0.0000 0.0000 0.0000
Se 0.0000 0.0000 3.6657
N 0.0000 1.7830 0.0000
Se 1.7830 1.7830 3.6657
N 1.7830 0.0000 0.0000
! Magnetic moment: 0.00 μB/atom
! E_form (uncorrected): 1.044 eV/atom
! Distance to the lowest polymorph of the same formula: 1171.5 meV per atom
! Electronic total energy: -5.1007 eV/atom